P | NaSbTe2As | PBE | optimized geometry

Symmetry ... P4/mmm
Magnetic moment ... 0.00 μB per formula unit

a = 5.7027 Å, b = 5.7027 Å, c = 5.2627 Å
α = 90.00°, β = 90.00°, γ = 90.00°
Fractional coordinates of all 5 atoms:
As 0.0000 0.0000 0.0000
Te 0.0000 0.5000 0.0000
Te 0.5000 0.0000 0.0000
Sb 0.0000 0.0000 0.5000
Na 0.5000 0.5000 0.5000

Q | NaSbTe2As | PBE | optimized geometry

Symmetry ... P4/mmm
Magnetic moment ... 0.00 μB per formula unit

a = 5.4161 Å, b = 5.4161 Å, c = 5.3449 Å
α = 90.00°, β = 90.00°, γ = 90.00°
Fractional coordinates of all 5 atoms:
Te 0.5000 0.0000 0.0000
Te 0.0000 0.5000 0.0000
Na 0.0000 0.0000 0.0000
As 0.5000 0.5000 0.5000
Sb 0.0000 0.0000 0.5000

Most stable to least stable, the ends of the list are P and Q.

P | NaSc2As2 | PBE | optimized geometry

Symmetry ... P4/mbm
Magnetic moment ... 0.84 μB per formula unit

a = 7.5833 Å, b = 7.5833 Å, c = 3.6033 Å
α = 90.00°, β = 90.00°, γ = 90.00°
Each line ends with the local moment (μB).
Fractional coordinates of all 10 atoms:
Sc 0.1477 0.6477 0.5000  0.20
Sc 0.8523 0.3523 0.5000  0.20
Sc 0.3523 0.1477 0.5000  0.22
Sc 0.6477 0.8523 0.5000  0.22
As 0.1541 0.3459 0.0000  -0.01
As 0.6541 0.1541 0.0000  -0.01
As 0.3459 0.8459 0.0000  -0.01
As 0.8459 0.6541 0.0000  -0.01
Na 0.5000 0.5000 0.0000  0.02
Na 0.0000 0.0000 0.0000  0.02

Q | NaSc2As2 | PBE | optimized geometry

Symmetry ... I4/mmm
Magnetic moment ... 0.60 μB per formula unit

a = 4.6215 Å, b = 4.6215 Å, c = 7.0248 Å
α = 70.80°, β = 70.80°, γ = 90.00°
Each line ends with the local moment (μB).
Fractional coordinates of all 5 atoms:
As 0.6411 0.6411 0.7179  -0.02
As 0.3589 0.3589 0.2821  -0.02
Na 0.0000 0.0000 0.0000  0.00
Sc 0.7500 0.2500 0.5000  0.21
Sc 0.2500 0.7500 0.5000  0.21

R | NaSc2As2 | PBE | optimized geometry

Symmetry ... I4/mmm
Magnetic moment ... 0.98 μB per formula unit

a = 5.1454 Å, b = 5.1454 Å, c = 6.2002 Å
α = 65.48°, β = 65.48°, γ = 90.00°
Each line ends with the local moment (μB).
Fractional coordinates of all 5 atoms:
Sc 0.3193 0.3193 0.3613  0.25
Sc 0.6807 0.6807 0.6387  0.25
Na 0.0000 0.0000 0.0000  0.01
As 0.2500 0.7500 0.5000  0.00
As 0.7500 0.2500 0.5000  0.00

Most stable to least stable, the ends of the list are P and R.

P | NaScAs2 | PBE | optimized geometry

Symmetry ... Fm-3m
Magnetic moment ... 0.00 μB per formula unit

a = 4.8520 Å, b = 4.8520 Å, c = 4.8520 Å
α = 60.00°, β = 60.00°, γ = 60.00°
Fractional coordinates of all 4 atoms:
Na 0.0000 0.0000 0.0000
As 0.2500 0.2500 0.2500
As 0.7500 0.7500 0.7500
Sc 0.5000 0.5000 0.5000

Q | NaScAs2 | PBE | optimized geometry

Symmetry ... I-42d
Magnetic moment ... 0.00 μB per formula unit

a = 5.4287 Å, b = 5.4287 Å, c = 9.3194 Å
α = 73.07°, β = 73.07°, γ = 90.00°
Fractional coordinates of all 8 atoms:
As 0.7849 0.1250 0.2500
As 0.8750 0.0349 0.7500
As 0.9651 0.6250 0.2500
As 0.3750 0.2151 0.7500
Sc 0.7500 0.2500 0.5000
Sc 0.0000 0.0000 0.0000
Na 0.5000 0.5000 0.0000
Na 0.2500 0.7500 0.5000

Most stable to least stable, the ends of the list are P and Q.

P | NaScAs2Se | PBE | optimized geometry

Symmetry ... P4/mmm
Magnetic moment ... 0.00 μB per formula unit

a = 4.9138 Å, b = 4.9138 Å, c = 5.0111 Å
α = 90.00°, β = 90.00°, γ = 90.00°
Fractional coordinates of all 5 atoms:
As 0.5000 0.0000 0.0000
As 0.0000 0.5000 0.0000
Se 0.0000 0.0000 0.5000
Na 0.0000 0.0000 0.0000
Sc 0.5000 0.5000 0.5000

Q | NaScAs2Se | PBE | optimized geometry

Symmetry ... P4/mmm
Magnetic moment ... 0.00 μB per formula unit

a = 5.1487 Å, b = 5.1487 Å, c = 5.2416 Å
α = 90.00°, β = 90.00°, γ = 90.00°
Fractional coordinates of all 5 atoms:
Na 0.5000 0.5000 0.5000
As 0.0000 0.5000 0.0000
As 0.5000 0.0000 0.0000
Sc 0.0000 0.0000 0.0000
Se 0.0000 0.0000 0.5000

Most stable to least stable, the ends of the list are Q and P.

P | NaScAsSe2 | PBE | optimized geometry

Symmetry ... P4/mmm
Magnetic moment ... 0.77 μB per formula unit

a = 5.2212 Å, b = 5.2212 Å, c = 5.1769 Å
α = 90.00°, β = 90.00°, γ = 90.00°
Each line ends with the local moment (μB).
Fractional coordinates of all 5 atoms:
Na 0.5000 0.5000 0.5000  0.00
Se 0.0000 0.5000 0.0000  0.07
Se 0.5000 0.0000 0.0000  0.07
As 0.0000 0.0000 0.5000  0.25
Sc 0.0000 0.0000 0.0000  0.01

Q | NaScAsSe2 | PBE | optimized geometry

Symmetry ... P4/mmm
Magnetic moment ... 0.00 μB per formula unit

a = 5.0586 Å, b = 5.0586 Å, c = 4.8192 Å
α = 90.00°, β = 90.00°, γ = 90.00°
Fractional coordinates of all 5 atoms:
Sc 0.5000 0.5000 0.5000
As 0.0000 0.0000 0.5000
Na 0.0000 0.0000 0.0000
Se 0.0000 0.5000 0.0000
Se 0.5000 0.0000 0.0000

Most stable to least stable, the ends of the list are P and Q.

P | NaAsSe3 | PBE | optimized geometry

Symmetry ... P2_1
Magnetic moment ... 0.00 μB per formula unit

a = 5.4030 Å, b = 5.7202 Å, c = 9.5262 Å
α = 90.00°, β = 90.94°, γ = 90.00°
Fractional coordinates of all 10 atoms:
Se 0.7880 0.3331 0.9552
Se 0.9946 0.9221 0.6634
Se 0.5778 0.5447 0.3254
Se 0.2120 0.8331 0.0448
Se 0.4222 0.0447 0.6746
Se 0.0054 0.4221 0.3366
Na 0.3771 0.5381 0.6194
Na 0.6229 0.0381 0.3806
As 0.8328 0.9120 0.9060
As 0.1672 0.4120 0.0940

Q | NaAsSe3 | PBE | optimized geometry

Symmetry ... Pm-3m
Magnetic moment ... 0.00 μB per formula unit

a = 5.0591 Å, b = 5.0591 Å, c = 5.0591 Å
α = 90.00°, β = 90.00°, γ = 90.00°
Fractional coordinates of all 5 atoms:
Se 0.5000 0.0000 0.0000
Se 0.0000 0.5000 0.0000
Se 0.0000 0.0000 0.5000
Na 0.0000 0.0000 0.0000
As 0.5000 0.5000 0.5000

Most stable to least stable, the ends of the list are P and Q.